[1]
# TlRe2P

A relaxed TlRe2P crystal (PBE, Alexandria).

a = 5.317 Å, b = 5.317 Å, c = 5.317 Å
α = 147.95°, β = 122.97°, γ = 66.93°
Sites, in units of the cell vectors:
Tl1 0.000 0.500 0.500
Re1 0.711 0.711 0.000
Re2 0.289 0.289 0.000
P1 0.500 0.000 0.500

Its crystal system is orthorhombic. As for the symmetry: Immm, No. 71.

***

[2]
# Tl2ReP

A relaxed Tl2ReP crystal (PBE, Alexandria).

a = 8.891 Å, b = 8.891 Å, c = 3.805 Å
α = 77.69°, β = 77.69°, γ = 19.09°
Sites, in units of the cell vectors:
Tl1 0.835 0.835 0.167
Tl2 0.165 0.165 0.833
Re1 0.500 0.500 0.000
P1 0.000 0.000 0.500

Its crystal system is monoclinic. As for the symmetry: C2/m, No. 12.

***

[3]
# TlRe2P

A relaxed TlRe2P crystal (PBE, Alexandria).

a = 5.239 Å, b = 5.239 Å, c = 3.007 Å
α = 74.49°, β = 74.49°, γ = 112.00°
Sites, in units of the cell vectors:
Tl1 0.000 0.000 0.500
Re1 0.000 0.500 0.000
Re2 0.500 0.000 0.000
P1 0.500 0.500 0.500

Its crystal system is monoclinic. As for the symmetry: C2/m, No. 12.

***

[4]
# Tl2ReP

A relaxed Tl2ReP crystal (PBE, Alexandria).

a = 7.041 Å, b = 7.041 Å, c = 7.041 Å
α = 154.66°, β = 140.99°, γ = 47.09°
Sites, in units of the cell vectors:
Tl1 0.953 0.953 0.000
Tl2 0.256 0.756 0.500
Re1 0.712 0.212 0.500
P1 0.578 0.578 0.000

Its crystal system is orthorhombic. As for the symmetry: Imm2, No. 44.

***

[5]
# TlRe2P

A relaxed TlRe2P crystal (PBE, Alexandria).

a = 2.952 Å, b = 2.952 Å, c = 8.165 Å
α = 90.00°, β = 90.00°, γ = 90.00°
Sites, in units of the cell vectors:
Tl1 0.000 0.000 0.480
Re1 0.000 0.000 0.996
Re2 0.500 0.500 0.203
P1 0.500 0.500 0.821

Its crystal system is tetragonal. As for the symmetry: P4mm, No. 99.

***

[6]
# Tl2ReP

A relaxed Tl2ReP crystal (PBE, Alexandria).

a = 10.011 Å, b = 10.011 Å, c = 10.011 Å
α = 18.40°, β = 18.40°, γ = 18.40°
Sites, in units of the cell vectors:
Tl1 0.986 0.986 0.986
Tl2 0.755 0.755 0.755
Re1 0.237 0.237 0.237
P1 0.521 0.521 0.521

Its crystal system is trigonal. As for the symmetry: R3m, No. 160.

***

[7]
# TlRe2P

A relaxed TlRe2P crystal (PBE, Alexandria).

a = 2.841 Å, b = 2.841 Å, c = 10.305 Å
α = 90.00°, β = 90.00°, γ = 115.50°
Sites, in units of the cell vectors:
Tl1 0.000 0.000 0.522
Re1 0.000 0.000 0.002
Re2 0.500 0.500 0.791
P1 0.500 0.500 0.185

Its crystal system is orthorhombic. As for the symmetry: Cmm2, No. 35.

***

[8]
# TlRe2P

A relaxed TlRe2P crystal (PBE, Alexandria).

a = 3.058 Å, b = 4.402 Å, c = 5.002 Å
α = 90.00°, β = 90.00°, γ = 90.00°
Sites, in units of the cell vectors:
Tl1 0.500 0.500 0.000
Re1 0.000 0.000 0.000
Re2 0.500 0.000 0.500
P1 0.000 0.500 0.500

Its crystal system is orthorhombic. As for the symmetry: Pmmm, No. 47.

***

Short version: energy = -30.05 -21.18 -28.26 -20.71 -31.37 -21.60 -30.19 -28.21 eV for the cell shown, in the order given.
Short version: distance to the lowest polymorph of the same formula = 0.332 0.169 0.777 0.287 0.000 0.065 0.295 0.791 eV/atom, in the order given.
Short version: DFT formation energy = 656 352 1102 470 325 248 620 1116 meV/atom, in the order given.